1.
The following is a DFT calculation (PBE) of Pm8NiOs2 after structural relaxation.

Cell and atoms, written as POSCAR:
```
Pm8NiOs2
1.0
9.0176 -2.4222 0.0000
9.0176 2.4222 0.0000
-1.8877 0.0000 6.8297
Pm Ni Os
8 1 2
Direct
0.0290 0.0290 0.2890 Pm
0.2065 0.2065 0.8149 Pm
0.3320 0.3320 0.5327 Pm
0.4019 0.4019 0.0315 Pm
0.5981 0.5981 0.9685 Pm
0.6680 0.6680 0.4673 Pm
0.7935 0.7935 0.1851 Pm
0.9710 0.9710 0.7110 Pm
0.5000 0.5000 0.5000 Ni
0.1859 0.1859 0.2078 Os
0.8141 0.8141 0.7922 Os
```

calculated volume: 298 Å³/f.u.
energy relative to the lowest polymorph listed for this composition: 0 kJ/mol of formula units
space-group type: C2/m, No. 12

2.
The following is a DFT calculation (PBE) of Pm2NiOs after structural relaxation.

Cell and atoms, written as POSCAR:
```
Pm2NiOs
1.0
3.4561 0.0000 0.0000
0.0000 3.4561 0.0000
0.0000 0.0000 7.1060
Pm Ni Os
2 1 1
Direct
0.0000 0.0000 0.2474 Pm
0.0000 0.0000 0.7526 Pm
0.5000 0.5000 0.5000 Ni
0.5000 0.5000 0.0000 Os
```

calculated volume: 85 Å³/f.u.
energy relative to the lowest polymorph listed for this composition: 0 kJ/mol of formula units
space-group type: P4/mmm, No. 123

3.
The following is a DFT calculation (PBE) of Pm5Ni2Os after structural relaxation.

Cell and atoms, written as POSCAR:
```
Pm5Ni2Os
1.0
-3.6085 3.6085 7.4940
3.6085 -3.6085 7.4940
3.6085 3.6085 -7.4940
Pm Ni Os
10 4 2
Direct
0.0000 0.0000 0.0000 Pm
0.0303 0.5303 0.8542 Pm
0.1761 0.0303 0.5000 Pm
0.3239 0.8239 0.8542 Pm
0.4697 0.3239 0.5000 Pm
0.5000 0.5000 0.0000 Pm
0.5303 0.6761 0.5000 Pm
0.6761 0.1761 0.1458 Pm
0.8239 0.9697 0.5000 Pm
0.9697 0.4697 0.1458 Pm
0.1162 0.3838 0.5000 Ni
0.3838 0.8838 0.2675 Ni
0.6162 0.1162 0.7325 Ni
0.8838 0.6162 0.5000 Ni
0.2500 0.2500 0.0000 Os
0.7500 0.7500 0.0000 Os
```

calculated volume: 195 Å³/f.u.
space-group type: I4/mcm, No. 140

4.
The following is a DFT calculation (PBE) of Pm4NiOs after structural relaxation.

Cell and atoms, written as POSCAR:
```
Pm4NiOs
1.0
-4.6900 4.6900 4.1940
4.6900 -4.6900 4.1940
4.6900 4.6900 -4.1940
Pm Ni Os
8 2 2
Direct
0.1971 0.0000 0.1971 Pm
0.2507 0.5514 0.3007 Pm
0.2507 0.9501 0.6993 Pm
0.3014 0.5007 0.8007 Pm
0.7001 0.5007 0.1993 Pm
0.7500 0.0529 0.3029 Pm
0.7500 0.4471 0.6971 Pm
0.8029 0.0000 0.8029 Pm
0.5017 0.0017 0.5000 Ni
0.7517 0.7517 0.0000 Ni
0.2485 0.2485 0.0000 Os
0.9985 0.4985 0.5000 Os
```

calculated volume: 185 Å³/f.u.
space-group type: I4_1md, No. 109

Number 1: total DFT energy (no corrections) -67.19 eV/cell, ΔH_f (0 K) -0.086 eV/atom, mass density 8.90 g cm⁻³. Number 2: total DFT energy (no corrections) -26.95 eV/cell, ΔH_f (0 K) -0.111 eV/atom, mass density 10.54 g cm⁻³. Number 3: total DFT energy (no corrections) -96.27 eV/cell, ΔH_f (0 K) -0.199 eV/atom, mass density 8.79 g cm⁻³. Number 4: total DFT energy (no corrections) -73.01 eV/cell, ΔH_f (0 K) -0.082 eV/atom, mass density 7.46 g cm⁻³.